[1]
Density functional theory data (PBE) for a geometry-optimized DyMg2Pb5 structure.

Values from the calculation:
Calculated density = 9.2 Mg/m³
DOS(E_F) = 0.53 states/eV per atom
Magnetization = 0.0 μB/f.u.
Space group = No. 55
ΔH_f (0 K) = -0.116 eV/atom
Distance to the lowest polymorph of the same formula = 0 meV per atom
Calculated total energy = -3.407 eV per atom

a b c (Å): 5.566 6.548 12.414
angles (deg): 90.00 90.00 90.00
Atoms (fractional coordinates):
Dy  0.000  0.000  0.500
Dy  0.000  0.500  0.000
Mg  0.500  0.327  0.390
Mg  0.500  0.673  0.610
Mg  0.500  0.173  0.890
Mg  0.500  0.827  0.110
Pb  0.500  0.336  0.129
Pb  0.500  0.664  0.871
Pb  0.500  0.836  0.371
Pb  0.500  0.164  0.629
Pb  0.000  0.794  0.742
Pb  0.000  0.206  0.258
Pb  0.000  0.294  0.758
Pb  0.000  0.706  0.242
Pb  0.000  0.500  0.500
Pb  0.000  0.000  0.000

***

[2]
Density functional theory data (PBE) for a geometry-optimized Dy2MgPb5 structure.

Values from the calculation:
Calculated density = 10.3 Mg/m³
DOS(E_F) = 0.38 states/eV per atom
Magnetization = 0.0 μB/f.u.
Space group = No. 55
ΔH_f (0 K) = -0.313 eV/atom
Calculated total energy = -3.981 eV per atom

a b c (Å): 4.957 6.696 13.419
angles (deg): 90.00 90.00 90.00
Atoms (fractional coordinates):
Dy  0.500  0.289  0.364
Dy  0.500  0.711  0.636
Dy  0.500  0.211  0.864
Dy  0.500  0.789  0.136
Mg  0.000  0.000  0.500
Mg  0.000  0.500  0.000
Pb  0.500  0.286  0.113
Pb  0.500  0.714  0.887
Pb  0.500  0.786  0.387
Pb  0.500  0.214  0.613
Pb  0.000  0.966  0.742
Pb  0.000  0.034  0.258
Pb  0.000  0.466  0.758
Pb  0.000  0.534  0.242
Pb  0.000  0.500  0.500
Pb  0.000  0.000  0.000

***

[3]
Density functional theory data (PBE) for a geometry-optimized DyMg3Pb6 structure.

Values from the calculation:
Calculated density = 8.9 Mg/m³
DOS(E_F) = 0.56 states/eV per atom
Magnetization = 0.0 μB/f.u.
Space group = No. 11
ΔH_f (0 K) = -0.105 eV/atom
Distance to the lowest polymorph of the same formula = 0 meV per atom
Calculated total energy = -3.269 eV per atom

a b c (Å): 4.829 10.213 11.275
angles (deg): 95.53 90.00 90.00
Atoms (fractional coordinates):
Dy  0.250  0.939  0.612
Dy  0.750  0.061  0.388
Mg  0.250  0.556  0.401
Mg  0.750  0.444  0.599
Mg  0.250  0.344  0.803
Mg  0.750  0.656  0.197
Mg  0.250  0.751  0.996
Mg  0.750  0.249  0.004
Pb  0.250  0.456  0.095
Pb  0.750  0.544  0.905
Pb  0.250  0.158  0.199
Pb  0.750  0.842  0.801
Pb  0.250  0.626  0.697
Pb  0.750  0.374  0.303
Pb  0.250  0.261  0.506
Pb  0.750  0.739  0.494
Pb  0.250  0.839  0.302
Pb  0.750  0.161  0.698
Pb  0.250  0.062  0.905
Pb  0.750  0.938  0.095

***

[4]
Density functional theory data (PBE) for a geometry-optimized DyMg2Pb5 structure.

Values from the calculation:
Calculated density = 9.2 Mg/m³
DOS(E_F) = 0.58 states/eV per atom
Magnetization = 0.0 μB/f.u.
Space group = No. 140
ΔH_f (0 K) = -0.110 eV/atom
Distance to the lowest polymorph of the same formula = 5 meV per atom
Calculated total energy = -3.402 eV per atom

a b c (Å): 8.426 8.426 8.692
angles (deg): 119.00 119.00 90.00
Atoms (fractional coordinates):
Dy  0.750  0.750  0.500
Dy  0.250  0.250  0.500
Mg  0.139  0.361  0.000
Mg  0.639  0.139  0.000
Mg  0.361  0.861  0.000
Mg  0.861  0.639  0.000
Pb  0.490  0.690  0.679
Pb  0.810  0.010  0.321
Pb  0.000  0.000  0.000
Pb  0.500  0.500  0.000
Pb  0.190  0.990  0.679
Pb  0.690  0.190  0.679
Pb  0.990  0.490  0.679
Pb  0.310  0.810  0.321
Pb  0.010  0.510  0.321
Pb  0.510  0.310  0.321

***

[5]
Density functional theory data (PBE) for a geometry-optimized DyMg3Pb6 structure.

Values from the calculation:
Calculated density = 8.5 Mg/m³
DOS(E_F) = 0.37 states/eV per atom
Magnetization = 0.0 μB/f.u.
Space group = No. 14
ΔH_f (0 K) = -0.064 eV/atom
Distance to the lowest polymorph of the same formula = 41 meV per atom
Calculated total energy = -3.227 eV per atom

a b c (Å): 4.860 9.623 12.496
angles (deg): 90.00 83.29 90.00
Atoms (fractional coordinates):
Dy  0.500  0.500  0.500
Dy  0.000  0.000  0.000
Mg  0.543  0.827  0.838
Mg  0.500  0.500  0.000
Mg  0.457  0.173  0.162
Mg  0.043  0.673  0.338
Mg  0.000  0.000  0.500
Mg  0.957  0.327  0.662
Pb  0.550  0.187  0.880
Pb  0.489  0.172  0.561
Pb  0.573  0.508  0.242
Pb  0.427  0.492  0.758
Pb  0.511  0.828  0.439
Pb  0.450  0.813  0.120
Pb  0.050  0.313  0.380
Pb  0.989  0.328  0.061
Pb  0.073  0.992  0.742
Pb  0.927  0.008  0.258
Pb  0.011  0.672  0.939
Pb  0.950  0.687  0.620

***

[6]
Density functional theory data (PBE) for a geometry-optimized DyMgPdPb structure.

Values from the calculation:
Calculated density = 9.3 Mg/m³
DOS(E_F) = 0.59 states/eV per atom
Magnetization = 0.0 μB/f.u.
Space group = No. 216
ΔH_f (0 K) = -0.499 eV/atom
Calculated total energy = -4.273 eV per atom

a b c (Å): 5.021 5.021 5.021
angles (deg): 60.00 60.00 60.00
Atoms (fractional coordinates):
Pb  0.500  0.500  0.500
Mg  0.250  0.250  0.250
Pd  0.000  0.000  0.000
Dy  0.750  0.750  0.750

***

[7]
Density functional theory data (PBE) for a geometry-optimized PmDyMgPb structure.

Values from the calculation:
Calculated density = 8.0 Mg/m³
DOS(E_F) = 1.03 states/eV per atom
Magnetization = 0.0 μB/f.u.
Space group = No. 216
ΔH_f (0 K) = -0.298 eV/atom
Calculated total energy = -3.962 eV per atom

a b c (Å): 5.415 5.415 5.415
angles (deg): 60.00 60.00 60.00
Atoms (fractional coordinates):
Pb  0.500  0.500  0.500
Mg  0.000  0.000  0.000
Pm  0.750  0.750  0.750
Dy  0.250  0.250  0.250

***

[8]
Density functional theory data (PBE) for a geometry-optimized DyPuMgPb structure.

Values from the calculation:
Calculated density = 9.6 Mg/m³
DOS(E_F) = 2.43 states/eV per atom
Magnetization = 6.8 μB/f.u.
Space group = No. 216
ΔH_f (0 K) = -0.114 eV/atom
Calculated total energy = -6.173 eV per atom

a b c (Å): 5.389 5.389 5.389
angles (deg): 60.00 60.00 60.00
Atoms (fractional coordinates):
Pb  0.500  0.500  0.500
Mg  0.000  0.000  0.000
Dy  0.250  0.250  0.250
Pu  0.750  0.750  0.750

***

[9]
Density functional theory data (PBE) for a geometry-optimized DyMgRhPb structure.

Values from the calculation:
Calculated density = 9.5 Mg/m³
DOS(E_F) = 0.45 states/eV per atom
Magnetization = 0.0 μB/f.u.
Space group = No. 216
ΔH_f (0 K) = -0.371 eV/atom
Calculated total energy = -4.685 eV per atom

a b c (Å): 4.963 4.963 4.963
angles (deg): 60.00 60.00 60.00
Atoms (fractional coordinates):
Pb  0.250  0.250  0.250
Mg  0.000  0.000  0.000
Rh  0.750  0.750  0.750
Dy  0.500  0.500  0.500

***

[10]
Density functional theory data (PBE) for a geometry-optimized DyMgScPb structure.

Values from the calculation:
Calculated density = 7.2 Mg/m³
DOS(E_F) = 1.19 states/eV per atom
Magnetization = 0.0 μB/f.u.
Space group = No. 216
ΔH_f (0 K) = -0.231 eV/atom
Calculated total energy = -4.290 eV per atom

a b c (Å): 5.229 5.229 5.229
angles (deg): 60.00 60.00 60.00
Atoms (fractional coordinates):
Pb  0.000  0.000  0.000
Sc  0.750  0.750  0.750
Mg  0.500  0.500  0.500
Dy  0.250  0.250  0.250

***

[11]
Density functional theory data (PBE) for a geometry-optimized DyMgSnPb structure.

Values from the calculation:
Calculated density = 8.0 Mg/m³
DOS(E_F) = 0.59 states/eV per atom
Magnetization = 0.0 μB/f.u.
Space group = No. 216
ΔH_f (0 K) = -0.250 eV/atom
Distance to the lowest polymorph of the same formula = 148 meV per atom
Calculated total energy = -3.727 eV per atom

a b c (Å): 5.320 5.320 5.320
angles (deg): 60.00 60.00 60.00
Atoms (fractional coordinates):
Pb  0.250  0.250  0.250
Mg  0.500  0.500  0.500
Sn  0.750  0.750  0.750
Dy  0.000  0.000  0.000

***

[12]
Density functional theory data (PBE) for a geometry-optimized DyMgSnPb structure.

Values from the calculation:
Calculated density = 8.3 Mg/m³
DOS(E_F) = 0.50 states/eV per atom
Magnetization = 0.0 μB/f.u.
Space group = No. 47
ΔH_f (0 K) = -0.398 eV/atom
Distance to the lowest polymorph of the same formula = 0 meV per atom
Calculated total energy = -3.875 eV per atom

a b c (Å): 4.435 4.832 4.792
angles (deg): 90.00 90.00 90.00
Atoms (fractional coordinates):
Dy  0.500  0.000  0.500
Mg  0.500  0.500  0.000
Sn  0.000  0.000  0.000
Pb  0.000  0.500  0.500

***

[13]
Density functional theory data (PBE) for a geometry-optimized SrDyMgPb structure.

Values from the calculation:
Calculated density = 6.5 Mg/m³
DOS(E_F) = 0.85 states/eV per atom
Magnetization = 0.0 μB/f.u.
Space group = No. 216
ΔH_f (0 K) = -0.239 eV/atom
Calculated total energy = -3.136 eV per atom

a b c (Å): 5.574 5.574 5.574
angles (deg): 60.00 60.00 60.00
Atoms (fractional coordinates):
Pb  0.500  0.500  0.500
Sr  0.750  0.750  0.750
Mg  0.000  0.000  0.000
Dy  0.250  0.250  0.250

***

[14]
Density functional theory data (PBE) for a geometry-optimized TbDyMgPb structure.

Values from the calculation:
Calculated density = 8.4 Mg/m³
DOS(E_F) = 1.05 states/eV per atom
Magnetization = 0.0 μB/f.u.
Space group = No. 216
ΔH_f (0 K) = -0.278 eV/atom
Calculated total energy = -3.911 eV per atom

a b c (Å): 5.370 5.370 5.370
angles (deg): 60.00 60.00 60.00
Atoms (fractional coordinates):
Pb  0.000  0.000  0.000
Mg  0.500  0.500  0.500
Tb  0.250  0.250  0.250
Dy  0.750  0.750  0.750

***

[15]
Density functional theory data (PBE) for a geometry-optimized Dy2Mg5Tl3Pb2 structure.

Values from the calculation:
Calculated density = 7.0 Mg/m³
DOS(E_F) = 0.69 states/eV per atom
Magnetization = 0.0 μB/f.u.
Space group = No. 139
ΔH_f (0 K) = -0.040 eV/atom
Calculated total energy = -2.681 eV per atom

a b c (Å): 4.414 4.414 18.199
angles (deg): 96.97 96.97 90.00
Atoms (fractional coordinates):
Dy  0.715  0.715  0.431
Dy  0.285  0.285  0.569
Mg  0.640  0.140  0.280
Mg  0.360  0.860  0.720
Mg  0.140  0.640  0.280
Mg  0.860  0.360  0.720
Mg  0.500  0.500  0.000
Tl  0.197  0.197  0.394
Tl  0.803  0.803  0.606
Tl  0.000  0.000  0.000
Pb  0.419  0.419  0.838
Pb  0.581  0.581  0.162

***

[16]
Density functional theory data (PBE) for a geometry-optimized DyTmMgPb structure.

Values from the calculation:
Calculated density = 8.7 Mg/m³
DOS(E_F) = 1.04 states/eV per atom
Magnetization = 0.0 μB/f.u.
Space group = No. 216
ΔH_f (0 K) = -0.245 eV/atom
Calculated total energy = -3.839 eV per atom

a b c (Å): 5.335 5.335 5.335
angles (deg): 60.00 60.00 60.00
Atoms (fractional coordinates):
Pb  0.250  0.250  0.250
Mg  0.750  0.750  0.750
Tm  0.000  0.000  0.000
Dy  0.500  0.500  0.500

***

[17]
Density functional theory data (PBE) for a geometry-optimized DyMgPd14 structure.

Values from the calculation:
Calculated density = 10.9 Mg/m³
DOS(E_F) = 1.71 states/eV per atom
Magnetization = 0.0 μB/f.u.
Space group = No. 123
ΔH_f (0 K) = -0.321 eV/atom
Calculated total energy = -5.252 eV per atom

a b c (Å): 5.662 5.662 7.982
angles (deg): 90.00 90.00 89.99
Atoms (fractional coordinates):
Dy  0.875  0.875  0.500
Mg  0.375  0.375  0.500
Pd  0.875  0.875  0.000
Pd  0.375  0.375  0.000
Pd  0.875  0.375  0.500
Pd  0.875  0.375  0.000
Pd  0.375  0.875  0.500
Pd  0.375  0.875  0.000
Pd  0.622  0.128  0.246
Pd  0.622  0.128  0.754
Pd  0.128  0.622  0.246
Pd  0.128  0.622  0.754
Pd  0.622  0.622  0.246
Pd  0.622  0.622  0.754
Pd  0.128  0.128  0.246
Pd  0.128  0.128  0.754

***

[18]
Density functional theory data (PBE) for a geometry-optimized Dy3MgPd structure.

Values from the calculation:
Calculated density = 7.7 Mg/m³
DOS(E_F) = 0.96 states/eV per atom
Magnetization = 0.0 μB/f.u.
Space group = No. 11
ΔH_f (0 K) = -0.316 eV/atom
Calculated total energy = -4.435 eV per atom

a b c (Å): 4.970 6.617 8.106
angles (deg): 90.06 90.00 90.00
Atoms (fractional coordinates):
Dy  0.376  0.401  0.201
Dy  0.376  0.878  0.998
Dy  0.876  0.474  0.498
Dy  0.876  0.952  0.701
Dy  0.876  0.475  0.904
Dy  0.376  0.878  0.404
Mg  0.376  0.261  0.701
Mg  0.876  0.092  0.200
Pd  0.376  0.668  0.700
Pd  0.876  0.684  0.201

***

[19]
Density functional theory data (PBE) for a geometry-optimized Dy2Mg2Pd3 structure.

Values from the calculation:
Calculated density = 7.8 Mg/m³
DOS(E_F) = 0.51 states/eV per atom
Magnetization = 0.0 μB/f.u.
Space group = No. 12
ΔH_f (0 K) = -0.718 eV/atom
Calculated total energy = -4.714 eV per atom

a b c (Å): 4.338 7.345 5.316
angles (deg): 105.03 114.08 90.00
Atoms (fractional coordinates):
Dy  0.371  0.175  0.742
Dy  0.629  0.825  0.258
Mg  0.131  0.420  0.261
Mg  0.869  0.580  0.739
Pd  0.000  0.000  0.000
Pd  0.319  0.773  0.639
Pd  0.681  0.227  0.361

***

[20]
Density functional theory data (PBE) for a geometry-optimized Dy3MgPd12 structure.

Values from the calculation:
Calculated density = 10.9 Mg/m³
DOS(E_F) = 0.93 states/eV per atom
Magnetization = 0.0 μB/f.u.
Space group = No. 123
ΔH_f (0 K) = -0.771 eV/atom
Calculated total energy = -5.628 eV per atom

a b c (Å): 4.091 4.091 16.297
angles (deg): 90.00 90.00 90.00
Atoms (fractional coordinates):
Dy  0.000  0.000  0.244
Dy  0.000  0.000  0.500
Dy  0.000  0.000  0.756
Mg  0.000  0.000  0.000
Pd  0.500  0.500  0.000
Pd  0.500  0.500  0.245
Pd  0.500  0.500  0.500
Pd  0.500  0.500  0.755
Pd  0.500  0.000  0.117
Pd  0.500  0.000  0.372
Pd  0.500  0.000  0.628
Pd  0.500  0.000  0.883
Pd  0.000  0.500  0.117
Pd  0.000  0.500  0.372
Pd  0.000  0.500  0.628
Pd  0.000  0.500  0.883

***

[21]
Density functional theory data (PBE) for a geometry-optimized Dy4Mg3Pd structure.

Values from the calculation:
Calculated density = 6.8 Mg/m³
DOS(E_F) = 1.03 states/eV per atom
Magnetization = 0.0 μB/f.u.
Space group = No. 123
ΔH_f (0 K) = -0.279 eV/atom
Calculated total energy = -3.827 eV per atom

a b c (Å): 3.696 3.696 14.922
angles (deg): 90.00 90.00 90.00
Atoms (fractional coordinates):
Mg  0.500  0.500  0.242
Mg  0.500  0.500  0.500
Mg  0.500  0.500  0.758
Pd  0.500  0.500  0.000
Dy  0.000  0.000  0.891
Dy  0.000  0.000  0.109
Dy  0.000  0.000  0.370
Dy  0.000  0.000  0.630

***

[22]
Density functional theory data (PBE) for a geometry-optimized Dy3Mg2Pd3 structure.

Values from the calculation:
Calculated density = 8.1 Mg/m³
DOS(E_F) = 0.70 states/eV per atom
Magnetization = 0.0 μB/f.u.
Space group = No. 193
ΔH_f (0 K) = -0.731 eV/atom
Distance to the lowest polymorph of the same formula = 0 meV per atom
Calculated total energy = -4.803 eV per atom

a b c (Å): 5.776 8.353 8.353
angles (deg): 120.00 90.00 90.00
Atoms (fractional coordinates):
Dy  0.750  0.261  0.000
Dy  0.750  0.739  0.739
Dy  0.750  0.000  0.261
Dy  0.250  0.739  0.000
Dy  0.250  0.261  0.261
Dy  0.250  0.000  0.739
Mg  0.000  0.333  0.667
Mg  0.500  0.667  0.333
Mg  0.000  0.667  0.333
Mg  0.500  0.333  0.667
Pd  0.750  0.604  0.000
Pd  0.750  0.396  0.396
Pd  0.750  0.000  0.604
Pd  0.250  0.396  0.000
Pd  0.250  0.604  0.604
Pd  0.250  0.000  0.396

***

[23]
Density functional theory data (PBE) for a geometry-optimized Dy2MgPd8 structure.

Values from the calculation:
Calculated density = 10.4 Mg/m³
DOS(E_F) = 0.35 states/eV per atom
Magnetization = 0.0 μB/f.u.
Space group = No. 12
ΔH_f (0 K) = -0.653 eV/atom
Calculated total energy = -5.412 eV per atom

a b c (Å): 4.208 6.550 7.601
angles (deg): 106.89 106.07 90.00
Atoms (fractional coordinates):
Dy  0.784  0.333  0.568
Dy  0.216  0.667  0.432
Mg  0.500  0.000  0.000
Pd  0.409  0.557  0.818
Pd  0.669  0.903  0.338
Pd  0.859  0.822  0.718
Pd  0.965  0.276  0.930
Pd  0.141  0.178  0.282
Pd  0.331  0.097  0.662
Pd  0.591  0.443  0.182
Pd  0.035  0.724  0.070